BaTlMo2: relaxed, PBE.

* energy above the most stable polymorph in this dataset: 794 meV/atom
* final energy: -0.1927 hartree per atom

abc: 2.981 2.981 10.222
angles: 90.00 90.00 90.00
Sites, in units of the cell vectors:
1 Ba 0.000 0.000 0.000
2 Tl 0.000 0.000 0.500
3 Mo 0.500 0.500 0.286
4 Mo 0.500 0.500 0.714

---

Ba2TlMo: relaxed, PBE.

* energy above the most stable polymorph in this dataset: 116 meV/atom
* final energy: -0.1334 hartree per atom

abc: 5.842 5.842 4.310
angles: 90.00 90.00 90.00
Sites, in units of the cell vectors:
1 Ba 0.000 0.500 0.000
2 Ba 0.500 0.000 0.000
3 Tl 0.000 0.000 0.500
4 Mo 0.500 0.500 0.500

---

BaTlMo2: relaxed, PBE.

* energy above the most stable polymorph in this dataset: 290 meV/atom
* final energy: -0.2112 hartree per atom

abc: 7.022 7.022 7.022
angles: 150.16 139.15 51.41
Sites, in units of the cell vectors:
1 Ba 0.000 0.000 0.000
2 Tl 0.736 0.236 0.500
3 Mo 0.247 0.747 0.500
4 Mo 0.370 0.370 0.000

---

BaTl2Mo: relaxed, PBE.

* energy above the most stable polymorph in this dataset: 38 meV/atom
* final energy: -0.1437 hartree per atom

abc: 8.082 8.082 8.082
angles: 156.76 145.22 42.25
Sites, in units of the cell vectors:
1 Ba 0.000 0.000 0.000
2 Tl 0.357 0.357 0.000
3 Tl 0.688 0.188 0.500
4 Mo 0.199 0.699 0.500

---

BaTlMo2: relaxed, PBE.

* energy above the most stable polymorph in this dataset: 1164 meV/atom
* final energy: -0.1791 hartree per atom

abc: 6.628 6.628 6.628
angles: 101.28 101.28 127.50
Sites, in units of the cell vectors:
1 Ba 0.000 0.000 0.000
2 Ba 0.750 0.250 0.500
3 Tl 0.250 0.750 0.500
4 Tl 0.500 0.500 0.000
5 Mo 0.167 0.625 0.042
6 Mo 0.375 0.417 0.542
7 Mo 0.583 0.125 0.958
8 Mo 0.875 0.833 0.458

---

BaTl2Mo: relaxed, PBE.

* energy above the most stable polymorph in this dataset: 202 meV/atom
* final energy: -0.1377 hartree per atom

abc: 10.907 10.907 10.907
angles: 17.73 17.73 17.73
Sites, in units of the cell vectors:
1 Ba 0.000 0.000 0.000
2 Tl 0.238 0.238 0.238
3 Tl 0.762 0.762 0.762
4 Mo 0.500 0.500 0.500

---

BaTlMo2: relaxed, PBE.

* energy above the most stable polymorph in this dataset: 210 meV/atom
* final energy: -0.2141 hartree per atom

abc: 4.551 4.551 7.628
angles: 96.75 96.75 42.00
Sites, in units of the cell vectors:
1 Ba 0.000 0.000 0.000
2 Tl 0.758 0.758 0.346
3 Mo 0.226 0.226 0.683
4 Mo 0.505 0.505 0.568

---

Ba3TlMo: relaxed, PBE.

* energy above the most stable polymorph in this dataset: 0 meV/atom
* final energy: -0.1176 hartree per atom

abc: 5.959 5.959 5.959
angles: 90.00 90.00 90.00
Sites, in units of the cell vectors:
1 Ba 0.000 0.000 0.500
2 Ba 0.000 0.500 0.000
3 Ba 0.500 0.000 0.000
4 Tl 0.500 0.500 0.500
5 Mo 0.000 0.000 0.000